Entry 1:
## NdYNp (PBE)

Data for a relaxed NdYNp crystal.

Properties
energy relative to the elements: 1160 meV/atom
calculated density: 7.9 g/cm3
crystal system: cubic

Unit cell a=5.1942 b=5.1942 c=5.1942 alpha=60.00 beta=60.00 gamma=60.00
Last column: nearest neighbours and their distance in Å.
Atoms (fractional coordinates):
Y1 0.2500 0.2500 0.2500  4 Nd 3.18
Nd1 0.0000 0.0000 0.0000  4 Np 3.18, 4 Y 3.18
Np1 0.7500 0.7500 0.7500  4 Nd 3.18

***

Entry 2:
## LiTaOsO5 (PBE)

Data for a relaxed LiTaOsO5 crystal.

Properties
uncorrected energy: -7.913 eV per atom
calculated density: 7.4 g/cm3
crystal system: monoclinic

Unit cell a=5.5503 b=5.5503 c=7.5887 alpha=108.39 beta=108.39 gamma=96.73
Last column: nearest neighbours and their distance in Å.
Atoms (fractional coordinates):
Os1 0.3593 0.6407 0.2500  4 O 1.86-1.92
Os2 0.6407 0.3593 0.7500  4 O 1.86-1.92
O1 0.2665 0.7950 0.4667  1 Os 1.86, 1 Ta 2.00
O2 0.2726 0.3424 0.6467  1 Li 1.92, 1 Os 1.92, 1 Ta 2.02
O3 0.2050 0.7335 0.0333  1 Os 1.86, 1 Ta 2.00
O4 0.7335 0.2050 0.5333  1 Os 1.86, 1 Ta 2.00
O5 0.7274 0.6576 0.3533  1 Li 1.92, 1 Os 1.92, 1 Ta 2.02
O6 0.9430 0.0570 0.2500  1 Li 1.94, 2 Ta 1.96
O7 0.0570 0.9430 0.7500  1 Li 1.94, 2 Ta 1.96
O8 0.6576 0.7274 0.8533  1 Li 1.92, 1 Os 1.92, 1 Ta 2.02
O9 0.3424 0.2726 0.1467  1 Li 1.92, 1 Os 1.92, 1 Ta 2.02
O10 0.7950 0.2665 0.9667  1 Os 1.86, 1 Ta 2.00
Ta1 0.0000 0.0000 0.5000  6 O 1.96-2.02
Ta2 0.0000 0.0000 0.0000  6 O 1.96-2.02
Li1 0.7093 0.2907 0.2500  3 O 1.92-1.94
Li2 0.2907 0.7093 0.7500  3 O 1.92-1.94

***

Entry 3:
## LiNbMoW (PBE)

Data for a relaxed LiNbMoW crystal.

Properties
uncorrected energy: -8.621 eV per atom
calculated density: 10.0 g/cm3
crystal system: cubic

Unit cell a=4.4694 b=4.4694 c=4.4694 alpha=60.00 beta=60.00 gamma=60.00
Last column: nearest neighbours and their distance in Å.
Atoms (fractional coordinates):
Li1 0.7500 0.7500 0.7500  4 Nb 2.74, 4 Mo 2.74
W1 0.2500 0.2500 0.2500  4 Nb 2.74, 4 Mo 2.74
Nb1 0.5000 0.5000 0.5000  4 W 2.74, 4 Li 2.74
Mo1 0.0000 0.0000 0.0000  4 W 2.74, 4 Li 2.74

***

Entry 4:
## BeSiAgAu (PBE)

Data for a relaxed BeSiAgAu crystal.

Properties
uncorrected energy: -3.403 eV per atom
calculated density: 9.1 g/cm3
crystal system: cubic

Unit cell a=4.4546 b=4.4546 c=4.4546 alpha=60.00 beta=60.00 gamma=60.00
Last column: nearest neighbours and their distance in Å.
Atoms (fractional coordinates):
Be1 0.5000 0.5000 0.5000  4 Si 2.73, 4 Au 2.73
Si1 0.2500 0.2500 0.2500  4 Ag 2.73, 4 Be 2.73
Ag1 0.0000 0.0000 0.0000  4 Si 2.73, 4 Au 2.73
Au1 0.7500 0.7500 0.7500  4 Ag 2.73, 4 Be 2.73

***

Entry 5:
## BeCuReBi (PBE)

Data for a relaxed BeCuReBi crystal.

Properties
uncorrected energy: -5.068 eV per atom
calculated density: 12.2 g/cm3
crystal system: cubic

Unit cell a=4.4880 b=4.4880 c=4.4880 alpha=60.00 beta=60.00 gamma=60.00
Last column: nearest neighbours and their distance in Å.
Atoms (fractional coordinates):
Re1 0.7500 0.7500 0.7500  4 Bi 2.75, 4 Be 2.75
Bi1 0.0000 0.0000 0.0000  4 Re 2.75, 4 Cu 2.75
Cu1 0.2500 0.2500 0.2500  4 Bi 2.75, 4 Be 2.75
Be1 0.5000 0.5000 0.5000  4 Re 2.75, 4 Cu 2.75

***

Entry 6:
## TaNbNiSb (PBE)

Data for a relaxed TaNbNiSb crystal.

Properties
uncorrected energy: -7.716 eV per atom
calculated density: 10.9 g/cm3
crystal system: cubic

Unit cell a=4.6099 b=4.6099 c=4.6099 alpha=60.00 beta=60.00 gamma=60.00
Last column: nearest neighbours and their distance in Å.
Atoms (fractional coordinates):
Ni1 0.7500 0.7500 0.7500  4 Ta 2.82, 4 Sb 2.82
Ta1 0.5000 0.5000 0.5000  4 Nb 2.82, 4 Ni 2.82
Sb1 0.0000 0.0000 0.0000  4 Nb 2.82, 4 Ni 2.82
Nb1 0.2500 0.2500 0.2500  4 Sb 2.82, 4 Ta 2.82

***

Entry 7:
## NdCoSi (PBE)

Data for a relaxed NdCoSi crystal.

Properties
uncorrected energy: -6.442 eV per atom
calculated density: 6.8 g/cm3
crystal system: tetragonal

Unit cell a=4.0147 b=4.0147 c=6.9767 alpha=90.00 beta=90.00 gamma=90.00
Last column: nearest neighbours and their distance in Å.
Atoms (fractional coordinates):
Nd1 0.2500 0.2500 0.6843  4 Co 2.98, 4 Si 3.02
Nd2 0.7500 0.7500 0.3157  4 Co 2.98, 4 Si 3.02
Co1 0.2500 0.7500 0.0000  4 Si 2.33
Co2 0.7500 0.2500 0.0000  4 Si 2.33
Si1 0.2500 0.2500 0.1688  4 Co 2.33
Si2 0.7500 0.7500 0.8312  4 Co 2.33

***

Entry 8:
## HoScH2Br2 (PBE)

Data for a relaxed HoScH2Br2 crystal.

Properties
uncorrected energy: -4.687 eV per atom
calculated density: 5.4 g/cm3
crystal system: monoclinic

Unit cell a=3.6890 b=3.6890 c=9.9949 alpha=100.33 beta=100.33 gamma=60.00
Last column: nearest neighbours and their distance in Å.
Atoms (fractional coordinates):
Sc1 0.1236 0.1236 0.3669  4 H 2.04-2.17
H1 0.1909 0.1909 0.5751  1 Sc 2.04, 3 Ho 2.20
H2 0.8049 0.8049 0.4120  1 Ho 2.15, 3 Sc 2.17
Ho1 0.8759 0.8759 0.6315  4 H 2.15-2.20
Br1 0.3993 0.3993 0.1888  3 Sc 2.75, 3 H 3.05
Br2 0.6054 0.6054 0.8256  3 Ho 2.85

***

Entry 9:
## KPmU (PBE)

Data for a relaxed KPmU crystal.

Properties
uncorrected energy: -3.819 eV per atom
calculated density: 5.1 g/cm3
crystal system: cubic

Unit cell a=5.8067 b=5.8067 c=5.8067 alpha=60.00 beta=60.00 gamma=60.00
Last column: nearest neighbours and their distance in Å.
Atoms (fractional coordinates):
Pm1 0.7500 0.7500 0.7500  4 U 3.56
U1 0.0000 0.0000 0.0000  4 Pm 3.56, 4 K 3.56
K1 0.2500 0.2500 0.2500  4 U 3.56

***

Entry 10:
## TaCo2 (PBE)

Data for a relaxed TaCo2 crystal.

Properties
energy relative to the elements: 1242 meV/atom
calculated density: 10.0 g/cm3
crystal system: tetragonal

Unit cell a=4.8816 b=4.8816 c=4.1651 alpha=90.00 beta=90.00 gamma=90.00
Last column: nearest neighbours and their distance in Å.
Atoms (fractional coordinates):
Ta1 0.5000 0.5000 0.5000  6 Co 2.25-2.40
Ta2 0.0000 0.0000 0.0000  6 Co 2.25-2.40
Co1 0.3259 0.3259 0.0000  3 Ta 2.25-2.40, 1 Co 2.40
Co2 0.8259 0.1741 0.5000  3 Ta 2.25-2.40, 1 Co 2.40
Co3 0.1741 0.8259 0.5000  3 Ta 2.25-2.40, 1 Co 2.40
Co4 0.6741 0.6741 0.0000  3 Ta 2.25-2.40, 1 Co 2.40

***

Entry 11:
## PaN (PBE)

Data for a relaxed PaN crystal.

Properties
uncorrected energy: -10.013 eV per atom
calculated density: 13.4 g/cm3
crystal system: hexagonal

Unit cell a=3.3101 b=3.3101 c=3.1912 alpha=90.00 beta=90.00 gamma=120.00
Last column: nearest neighbours and their distance in Å.
Atoms (fractional coordinates):
N1 0.6667 0.3333 0.7500  6 Pa 2.49
Pa1 0.3333 0.6667 0.2500  6 N 2.49

***

Entry 12:
## ZrPaTe (PBE)

Data for a relaxed ZrPaTe crystal.

Properties
uncorrected energy: -6.926 eV per atom
calculated density: 8.8 g/cm3
crystal system: cubic

Unit cell a=4.9368 b=4.9368 c=4.9368 alpha=60.00 beta=60.00 gamma=60.00
Last column: nearest neighbours and their distance in Å.
Atoms (fractional coordinates):
Te1 0.0000 0.0000 0.0000  4 Zr 3.02, 4 Pa 3.02
Pa1 0.2500 0.2500 0.2500  4 Te 3.02
Zr1 0.7500 0.7500 0.7500  4 Te 3.02

***

Entry 13:
## Al2FeB (PBE)

Data for a relaxed Al2FeB crystal.

Properties
uncorrected energy: -5.156 eV per atom
calculated density: 4.6 g/cm3
crystal system: cubic

Unit cell a=3.9632 b=3.9632 c=3.9632 alpha=60.00 beta=60.00 gamma=60.00
Last column: nearest neighbours and their distance in Å.
Atoms (fractional coordinates):
Al1 0.0000 0.0000 0.0000  4 Al 2.43, 4 Fe 2.43
Al2 0.7500 0.7500 0.7500  4 Al 2.43, 4 B 2.43
B1 0.5000 0.5000 0.5000  4 Al 2.43, 4 Fe 2.43
Fe1 0.2500 0.2500 0.2500  4 B 2.43, 4 Al 2.43